# 1
Zr2ZnH2 | PBE-GGA | optimized geometry

Cell and atoms, written as extended XYZ:
```
10
Lattice="6.6076 0.0000 0.0000 0.0000 6.6076 0.0000 0.0000 0.0000 2.8951" Properties=species:S:1:pos:R:3 pbc="T T T"
Zr 1.0747 2.2291 0.0000
Zr 2.2291 5.5329 0.0000
Zr 4.3785 1.0747 0.0000
Zr 5.5329 4.3785 0.0000
Zn 0.0000 0.0000 1.4476
Zn 3.3038 3.3038 1.4476
H 0.7807 4.0845 1.4476
H 2.5231 0.7807 1.4476
H 4.0845 5.8269 1.4476
H 5.8269 2.5231 1.4476
```

The total magnetization is 0.000 μB per formula unit. The volume is 12.64 A^3/atom. Its distance to the lowest polymorph of the same formula is 1.76 eV per formula unit.



# 2
Zr2Zn2H | PBE-GGA | optimized geometry

Cell and atoms, written as extended XYZ:
```
10
Lattice="7.7391 0.0000 0.0000 0.0000 7.7391 0.0000 0.0000 0.0000 3.0919" Properties=species:S:1:pos:R:3 pbc="T T T"
Zr 1.4044 2.4652 0.0000
Zr 2.4652 6.3347 0.0000
Zr 5.2740 1.4044 0.0000
Zr 6.3347 5.2740 0.0000
Zn 0.8818 4.7513 1.5460
Zn 2.9878 0.8818 1.5460
Zn 4.7513 6.8574 1.5460
Zn 6.8574 2.9878 1.5460
H 0.0000 0.0000 1.5460
H 3.8696 3.8696 1.5460
```

The total magnetization is 0.000 μB per formula unit. The volume is 18.52 A^3/atom. Its distance to the lowest polymorph of the same formula is 2.63 eV per formula unit.



# 3
ZrZn2H2 | PBE-GGA | optimized geometry

Cell and atoms, written as extended XYZ:
```
10
Lattice="5.6795 0.0000 0.0000 0.0000 5.6795 0.0000 0.0000 0.0000 4.0080" Properties=species:S:1:pos:R:3 pbc="T T T"
Zr 0.0000 0.0000 0.0000
Zr 2.8398 2.8398 0.0000
Zn 1.2647 1.5751 2.0040
Zn 1.5751 4.4149 2.0040
Zn 4.1044 1.2647 2.0040
Zn 4.4149 4.1044 2.0040
H 1.1284 1.7114 0.0000
H 1.7114 4.5512 0.0000
H 3.9681 1.1284 0.0000
H 4.5512 3.9681 0.0000
```

The total magnetization is 0.000 μB per formula unit. The volume is 12.93 A^3/atom.



# 4
ZrZn2H | PBE-GGA | optimized geometry

Cell and atoms, written as extended XYZ:
```
4
Lattice="0.0000 3.1571 3.1571 3.1571 0.0000 3.1571 3.1571 3.1571 0.0000" Properties=species:S:1:pos:R:3 pbc="T T T"
Zr 0.0000 0.0000 0.0000
Zn 1.5786 1.5786 1.5786
Zn 4.7357 4.7357 4.7357
H 3.1571 3.1571 3.1571
```

The total magnetization is 0.000 μB per formula unit. The volume is 15.73 A^3/atom. Its distance to the lowest polymorph of the same formula is 1.47 eV per formula unit.



Number 1: DOS at the Fermi energy 5.8 states/eV per cell, calculated total energy -5.087 eV per atom. Number 2: DOS at the Fermi energy 6.4 states/eV per cell, calculated total energy -4.146 eV per atom. Number 3: DOS at the Fermi energy 4.1 states/eV per cell, calculated total energy -3.672 eV per atom. Number 4: DOS at the Fermi energy 3.2 states/eV per cell, calculated total energy -3.013 eV per atom.